# 1
Crystalline MgScAl2Cr at its relaxed geometry, computed with PBE-GGA.

a = 4.7561 Å, b = 4.9852 Å, c = 4.7561 Å
α = 90.00°, β = 90.00°, γ = 90.00°
Site moments in Bohr magnetons follow the coordinates.
Sites, in units of the cell vectors:
1 Sc 0.0000 0.5000 0.0000  0.14
2 Cr 0.5000 0.5000 0.5000  -0.12
3 Mg 0.0000 0.0000 0.0000  0.01
4 Al 0.0000 0.0000 0.5000  0.00
5 Al 0.5000 0.0000 0.0000  0.00

Properties
- crystal system = tetragonal
- magnetic moment (μB/f.u.) = 0.14
- energy (eV per atom) = -3.553
- ΔH_f (0 K) (meV per atom) = 1454.0

=====

# 2
Crystalline Pm4OsRh at its relaxed geometry, computed with PBE-GGA.

a = 6.3949 Å, b = 7.7059 Å, c = 8.0990 Å
α = 114.07°, β = 108.24°, γ = 99.90°
Sites, in units of the cell vectors:
1 Pm 0.0042 0.2371 0.8679
2 Pm 0.7944 0.6953 0.6508
3 Pm 0.3637 0.6308 0.8679
4 Pm 0.3564 0.9555 0.6508
5 Pm 0.6437 0.0445 0.3492
6 Pm 0.6363 0.3692 0.1321
7 Pm 0.2056 0.3047 0.3492
8 Pm 0.9958 0.7629 0.1321
9 Os 0.2522 0.0022 0.0043
10 Os 0.7478 0.9978 0.9957
11 Rh 0.3869 0.6369 0.2737
12 Rh 0.6131 0.3631 0.7263

Properties
- crystal system = monoclinic
- magnetic moment (μB/f.u.) = 0.00
- energy (eV per atom) = -6.604
- ΔH_f (0 K) (meV per atom) = -339.8
- energy above the lowest structure with this stoichiometry (kcal/mol of atoms) = 0.00

=====

# 3
Crystalline KMgAsRh2 at its relaxed geometry, computed with PBE-GGA.

a = 4.8150 Å, b = 4.9081 Å, c = 4.8150 Å
α = 90.00°, β = 90.00°, γ = 90.00°
Sites, in units of the cell vectors:
1 Mg 0.0000 0.0000 0.0000
2 As 0.0000 0.5000 0.0000
3 Rh 0.0000 0.0000 0.5000
4 Rh 0.5000 0.0000 0.0000
5 K 0.5000 0.5000 0.5000

Properties
- crystal system = tetragonal
- magnetic moment (μB/f.u.) = 0.00
- energy (eV per atom) = -3.706
- ΔH_f (0 K) (meV per atom) = 703.0

=====

# 4
Crystalline LiTmAg2I6 at its relaxed geometry, computed with PBE-GGA.

a = 7.6805 Å, b = 7.6789 Å, c = 8.3341 Å
α = 90.00°, β = 117.44°, γ = 119.99°
Sites, in units of the cell vectors:
1 Li 0.9969 0.9979 0.9805
2 Tm 0.9965 0.4978 0.4802
3 Ag 0.5100 0.7544 0.2507
4 Ag 0.4827 0.2410 0.7094
5 I 0.4942 0.8842 0.7301
6 I 0.4988 0.1113 0.2306
7 I 0.8583 0.7461 0.2307
8 I 0.1334 0.3864 0.2306
9 I 0.8600 0.6090 0.7301
10 I 0.1348 0.2496 0.7298

Properties
- crystal system = trigonal
- ΔE_f (raw) (eV/atom) = -0.84
- magnetic moment (μB/f.u.) = 0.00
- energy (eV per atom) = -2.976

=====

# 5
Crystalline Y3TiOs at its relaxed geometry, computed with PBE-GGA.

a = 5.3619 Å, b = 5.3619 Å, c = 5.3619 Å
α = 90.00°, β = 90.00°, γ = 90.00°
Site moments in Bohr magnetons follow the coordinates.
Sites, in units of the cell vectors:
1 Y 0.0000 0.5000 0.0000  0.02
2 Y 0.0000 0.0000 0.5000  0.02
3 Y 0.5000 0.0000 0.0000  0.05
4 Os 0.0000 0.0000 0.0000  0.01
5 Ti 0.5000 0.5000 0.5000  1.67

Properties
- crystal system = cubic
- magnetic moment (μB/f.u.) = 2.44
- energy (eV per atom) = -7.347
- ΔH_f (0 K) (meV per atom) = 356.5
- energy above the lowest structure with this stoichiometry (kcal/mol of atoms) = 0.00

=====

# 6
Crystalline Mg2ScMn at its relaxed geometry, computed with PBE-GGA.

a = 5.7229 Å, b = 5.7229 Å, c = 5.7229 Å
α = 145.99°, β = 128.34°, γ = 63.30°
Site moments in Bohr magnetons follow the coordinates.
Sites, in units of the cell vectors:
1 Mg 0.0062 0.0062 0.0000  -0.02
2 Mg 0.2664 0.7664 0.5000  -0.02
3 Mn 0.5002 0.5002 0.0000  3.39
4 Sc 0.7272 0.2272 0.5000  -0.31

Properties
- crystal system = orthorhombic
- magnetic moment (μB/f.u.) = 2.90
- energy (eV per atom) = -4.509
- ΔH_f (0 K) (meV per atom) = 163.9
- energy above the lowest structure with this stoichiometry (kcal/mol of atoms) = 2.89

=====

# 7
Crystalline AcPrNiPt at its relaxed geometry, computed with PBE-GGA.

a = 4.0640 Å, b = 4.5232 Å, c = 5.8907 Å
α = 90.00°, β = 110.18°, γ = 90.00°
Sites, in units of the cell vectors:
1 Ac 0.8604 0.5000 0.7209
2 Pr 0.1348 0.0000 0.2696
3 Ni 0.5822 0.5000 0.1643
4 Pt 0.4226 0.0000 0.8452

Properties
- crystal system = orthorhombic
- magnetic moment (μB/f.u.) = 0.00
- energy (eV per atom) = -5.873
- ΔH_f (0 K) (meV per atom) = -696.0
- energy above the lowest structure with this stoichiometry (kcal/mol of atoms) = 0.00

=====

# 8
Crystalline LaScFe at its relaxed geometry, computed with PBE-GGA.

a = 6.7194 Å, b = 7.0029 Å, c = 6.9100 Å
α = 90.00°, β = 90.00°, γ = 118.67°
Site moments in Bohr magnetons follow the coordinates.
Sites, in units of the cell vectors:
1 Fe 0.5891 0.1783 0.5395  1.11
2 Fe 0.9109 0.8217 0.0395  1.11
3 Fe 0.4109 0.8217 0.4605  1.11
4 Fe 0.0891 0.1783 0.9605  1.11
5 Sc 0.2873 0.0747 0.2500  -0.19
6 Sc 0.2127 0.9253 0.7500  -0.19
7 Sc 0.7127 0.9253 0.7500  -0.19
8 Sc 0.7873 0.0747 0.2500  -0.19
9 La 0.8069 0.6138 0.3794  -0.10
10 La 0.6931 0.3862 0.8794  -0.10
11 La 0.1931 0.3862 0.6206  -0.10
12 La 0.3069 0.6138 0.1206  -0.10

Properties
- crystal system = orthorhombic
- magnetic moment (μB/f.u.) = 0.56
- energy (eV per atom) = -6.571
- ΔH_f (0 K) (meV per atom) = 3.0
- energy above the lowest structure with this stoichiometry (kcal/mol of atoms) = 0.00